No. 1
First-principles (GGA-PBE) data for an optimized crystal structure of BaPb12Au6, as listed in the Alexandria database.

Calculated formation energy in eV/atom: -0.103
Density of states at the Fermi level in states/eV per cell: 9.8
SG: No. 166
Calculated volume in A^3/atom: 29.9

Cell lengths 8.6849, 8.6849, 8.6849 Å; angles 105.38, 105.38, 105.38 degrees
Last column: nearest neighbours and their distance in Å.
Element x y z (fractional)
Au 0.7498 0.7498 0.2863  7 Pb 2.91-3.25
Au 0.7498 0.2863 0.7498  7 Pb 2.91-3.25
Au 0.2502 0.2502 0.7137  7 Pb 2.91-3.25
Au 0.7137 0.2502 0.2502  7 Pb 2.91-3.25
Au 0.2502 0.7137 0.2502  7 Pb 2.91-3.25
Au 0.2863 0.7498 0.7498  7 Pb 2.91-3.25
Pb 0.1222 0.5000 0.8778  4 Au 2.91-2.99
Pb 0.8778 0.5000 0.1222  4 Au 2.91-2.99
Pb 0.5000 0.8778 0.1222  4 Au 2.91-2.99
Pb 0.1222 0.8778 0.5000  4 Au 2.91-2.99
Pb 0.8778 0.1222 0.5000  4 Au 2.91-2.99
Pb 0.8195 0.5623 0.5623  3 Au 3.00-3.25
Pb 0.4377 0.4377 0.1805  3 Au 3.00-3.25
Pb 0.5623 0.5623 0.8195  3 Au 3.00-3.25
Pb 0.5623 0.8195 0.5623  3 Au 3.00-3.25
Pb 0.4377 0.1805 0.4377  3 Au 3.00-3.25
Pb 0.5000 0.1222 0.8778  4 Au 2.91-2.99
Pb 0.1805 0.4377 0.4377  3 Au 3.00-3.25
Ba 0.0000 0.0000 0.0000  18 Pb 4.17-4.66, 6 Au 4.34



No. 2
First-principles (GGA-PBE) data for an optimized crystal structure of Ba2PbAu, as listed in the Alexandria database.

Calculated formation energy in eV/atom: -0.345
Density of states at the Fermi level in states/eV per cell: 6.6
SG: No. 122
Calculated volume in A^3/atom: 40.5

Cell lengths 9.2034, 9.2034, 7.5480 Å; angles 52.44, 52.44, 90.00 degrees
Last column: nearest neighbours and their distance in Å.
Element x y z (fractional)
Ba 0.3750 0.4083 0.7500  2 Au 3.19
Ba 0.8750 0.8417 0.7500  2 Au 3.19
Ba 0.5917 0.1250 0.2500  2 Au 3.19
Ba 0.1583 0.6250 0.2500  2 Au 3.19
Pb 0.7500 0.2500 0.5000  4 Ba 3.61, 2 Au 3.82
Pb 0.0000 0.0000 0.0000  4 Ba 3.61, 2 Au 3.82
Au 0.2500 0.7500 0.5000  4 Ba 3.19
Au 0.5000 0.5000 0.0000  4 Ba 3.19



No. 3
First-principles (GGA-PBE) data for an optimized crystal structure of Ba12PbAu5, as listed in the Alexandria database.

Calculated formation energy in eV/atom: -0.486
Density of states at the Fermi level in states/eV per cell: 15.3
SG: No. 71
Calculated volume in A^3/atom: 42.4

Cell lengths 9.9891, 9.9891, 9.9891 Å; angles 105.57, 114.18, 108.79 degrees
Last column: nearest neighbours and their distance in Å.
Element x y z (fractional)
Ba 0.8166 0.0531 0.2365  2 Au 3.37-3.57
Ba 0.5481 0.8267 0.7214  4 Au 3.47-3.63
Ba 0.8166 0.5802 0.7635  2 Au 3.37-3.57
Ba 0.1834 0.9469 0.7635  2 Au 3.37-3.57
Ba 0.3073 0.3367 0.6440  3 Au 3.32-3.44
Ba 0.8946 0.1733 0.7214  4 Au 3.47-3.63
Ba 0.6927 0.3367 0.0293  3 Au 3.32-3.44
Ba 0.3073 0.6633 0.9707  3 Au 3.32-3.44
Ba 0.1834 0.4198 0.2365  2 Au 3.37-3.57
Ba 0.6927 0.6633 0.3560  3 Au 3.32-3.44
Ba 0.4519 0.1733 0.2786  4 Au 3.47-3.63
Ba 0.1054 0.8267 0.2786  4 Au 3.47-3.63
Au 0.5000 0.8769 0.3769  1 Au 2.97, 2 Ba 3.32
Au 0.5000 0.1231 0.6231  1 Au 2.97, 2 Ba 3.32
Au 0.6631 0.6631 0.0000  8 Ba 3.37-3.57
Au 0.0000 0.0000 0.0000  8 Ba 3.57-3.63, 2 Au 3.92
Au 0.3369 0.3369 0.0000  8 Ba 3.37-3.57
Pb 0.0000 0.5000 0.5000  8 Ba 3.83-3.88